An optimized crystal structure of HRhS2Cl. Source: Alexandria, functional PBE.

## Properties
Calculated total energy, eV/atom: -3.42
Magnetization, μB per cell: 1.57
V, Å³/cell: 85

Cell: 3.5748 3.5748 6.6651 Å, 90.00 90.00 90.00°
Closest atoms and distances in Å follow each position.
Positions (direct):
H 0.0000 0.0000 0.0000  4 S 1.79
Rh 0.5000 0.5000 0.5000  4 Cl 2.53
S 0.0000 0.5000 0.0000  2 H 1.79
S 0.5000 0.0000 0.0000  2 H 1.79
Cl 0.0000 0.0000 0.5000  4 Rh 2.53


An optimized crystal structure of ScHRhCl2. Source: Alexandria, functional PBE.

## Properties
Calculated total energy, eV/atom: -4.10
Magnetization, μB per cell: 0.00
V, Å³/cell: 110

Cell: 4.7110 4.7110 4.9404 Å, 90.00 90.00 90.00°
Closest atoms and distances in Å follow each position.
Positions (direct):
Sc 0.0000 0.0000 0.0000  2 Rh 2.47
H 0.5000 0.5000 0.0000  4 Sc 3.33, 8 Cl 3.41
Rh 0.0000 0.0000 0.5000  4 Cl 2.36, 2 Sc 2.47
Cl 0.0000 0.5000 0.5000  2 Rh 2.36
Cl 0.5000 0.0000 0.5000  2 Rh 2.36


An optimized crystal structure of Sr6HRh2Cl3. Source: Alexandria, functional PBE.

## Properties
Calculated total energy, eV/atom: -3.85
Magnetization, μB per cell: 0.00
V, Å³/cell: 346

Cell: 7.2318 7.2318 7.9932 Å, 98.60 98.60 119.98°
Closest atoms and distances in Å follow each position.
Positions (direct):
Sr 0.0718 0.4032 0.2161  1 H 2.91, 2 Rh 2.92, 2 Cl 3.23-3.24
Sr 0.2601 0.2601 0.7858  1 H 2.90, 2 Rh 2.93, 2 Cl 3.22
Sr 0.4032 0.0718 0.2161  1 H 2.91, 2 Rh 2.92, 2 Cl 3.23-3.24
Sr 0.5968 0.9282 0.7839  1 H 2.91, 2 Rh 2.92, 2 Cl 3.23-3.24
Sr 0.7399 0.7399 0.2142  1 H 2.90, 2 Rh 2.93, 2 Cl 3.22
Sr 0.9282 0.5968 0.7839  1 H 2.91, 2 Rh 2.92, 2 Cl 3.23-3.24
H 0.0000 0.0000 0.0000  6 Sr 2.90-2.91
Rh 0.3327 0.6673 0.0000  6 Sr 2.92-2.93
Rh 0.6673 0.3327 0.0000  6 Sr 2.92-2.93
Cl 0.1631 0.8369 0.5000  6 Sr 3.22-3.28
Cl 0.5000 0.5000 0.5000  6 Sr 3.24-3.26
Cl 0.8369 0.1631 0.5000  6 Sr 3.22-3.28


An optimized crystal structure of TlHRhCl6. Source: Alexandria, functional PBE.

## Properties
Calculated total energy, eV/atom: -3.25
Magnetization, μB per cell: 0.00
V, Å³/cell: 237

Cell: 6.2388 6.3759 6.6419 Å, 92.79 111.83 102.56°
Closest atoms and distances in Å follow each position.
Positions (direct):
Tl 0.0000 0.0000 0.0000  5 Cl 2.92-3.18
H 0.3280 0.4485 0.4300  1 Cl 1.40
Rh 0.7976 0.4123 0.4238  6 Cl 2.32-2.40
Cl 0.0778 0.6959 0.6905  1 Rh 2.34
Cl 0.1020 0.2385 0.4697  1 H 1.83
Cl 0.4936 0.6017 0.3821  1 H 1.40
Cl 0.5306 0.1230 0.1447  1 Rh 2.38
Cl 0.6920 0.2210 0.6756  1 Rh 2.32
Cl 0.8694 0.5814 0.1420  1 Rh 2.34


An optimized crystal structure of HRhW2Cl. Source: Alexandria, functional PBE.

## Properties
Calculated total energy, eV/atom: -6.29
Magnetization, μB per cell: 0.00
V, Å³/cell: 77

Cell: 4.9927 4.9927 3.0869 Å, 90.00 90.00 90.00°
Closest atoms and distances in Å follow each position.
Positions (direct):
H 0.0000 0.0000 0.0000  2 Rh 1.54
Rh 0.0000 0.0000 0.5000  2 H 1.54
W 0.0000 0.5000 0.5000  2 Rh 2.50
W 0.5000 0.0000 0.5000  2 Rh 2.50
Cl 0.5000 0.5000 0.0000  8 W 2.93, 2 Cl 3.09


An optimized crystal structure of Zn2HRhCl. Source: Alexandria, functional PBE.

## Properties
Calculated total energy, eV/atom: -2.71
Magnetization, μB per cell: 0.00
V, Å³/cell: 67

Cell: 3.6810 3.6810 4.9522 Å, 90.00 90.00 90.00°
Closest atoms and distances in Å follow each position.
Positions (direct):
Zn 0.0000 0.5000 0.0000  2 H 1.84
Zn 0.5000 0.0000 0.0000  2 H 1.84
H 0.0000 0.0000 0.0000  4 Zn 1.84
Rh 0.5000 0.5000 0.5000  4 Cl 2.60
Cl 0.0000 0.0000 0.5000  2 H 2.48, 4 Rh 2.60


An optimized crystal structure of HRuCl6. Source: Alexandria, functional PBE.

## Properties
Calculated total energy, eV/atom: -3.36
Magnetization, μB per cell: 3.02
V, Å³/cell: 226

Cell: 6.7145 6.7145 6.2419 Å, 100.71 100.71 120.02°
Closest atoms and distances in Å follow each position.
Positions (direct):
H 0.0000 0.0000 0.0000  2 Cl 1.56
Ru 0.0000 0.0000 0.5000  6 Cl 2.29-2.41
Cl 0.0885 0.3663 0.7160  1 Ru 2.29
Cl 0.1899 0.1899 0.2398  1 H 1.56
Cl 0.3663 0.0885 0.7160  1 Ru 2.29
Cl 0.6337 0.9115 0.2840  1 Ru 2.29
Cl 0.8101 0.8101 0.7602  1 H 1.56
Cl 0.9115 0.6337 0.2840  1 Ru 2.29


An optimized crystal structure of H6RuCl12. Source: Alexandria, functional PBE.

## Properties
Calculated total energy, eV/atom: -3.11
Magnetization, μB per cell: 1.70
V, Å³/cell: 487

Cell: 7.9261 7.9261 7.9261 Å, 96.63 96.63 96.63°
Closest atoms and distances in Å follow each position.
Positions (direct):
H 0.2187 0.2783 0.7075  1 Cl 1.30
H 0.2783 0.7075 0.2187  1 Cl 1.30
H 0.2925 0.7813 0.7217  1 Cl 1.30
H 0.7075 0.2187 0.2783  1 Cl 1.30
H 0.7217 0.2925 0.7813  1 Cl 1.30
H 0.7813 0.7217 0.2925  1 Cl 1.30
Ru 0.0000 0.0000 0.0000  6 Cl 2.31
Cl 0.0566 0.7406 0.8695  1 Ru 2.31, 1 H 2.33
Cl 0.1305 0.9434 0.2594  1 Ru 2.31, 1 H 2.33
Cl 0.1650 0.3532 0.5774  1 H 1.30
Cl 0.2594 0.1306 0.9434  1 Ru 2.31, 1 H 2.33
Cl 0.3532 0.5774 0.1650  1 H 1.30
Cl 0.4226 0.8350 0.6468  1 H 1.30
Cl 0.5774 0.1650 0.3532  1 H 1.30
Cl 0.6468 0.4226 0.8350  1 H 1.30
Cl 0.7406 0.8695 0.0566  1 Ru 2.31, 1 H 2.33
Cl 0.8350 0.6468 0.4226  1 H 1.30
Cl 0.8695 0.0566 0.7406  1 Ru 2.31, 1 H 2.33
Cl 0.9434 0.2594 0.1305  1 Ru 2.31, 1 H 2.33


An optimized crystal structure of H3RuCl. Source: Alexandria, functional PBE.

## Properties
Calculated total energy, eV/atom: -2.63
Magnetization, μB per cell: 1.28
V, Å³/cell: 44

Cell: 3.5369 3.5369 3.5369 Å, 90.00 90.00 90.00°
Closest atoms and distances in Å follow each position.
Positions (direct):
H 0.0000 0.0000 0.5000  2 Cl 1.77
H 0.0000 0.5000 0.0000  2 Cl 1.77
H 0.5000 0.0000 0.0000  2 Cl 1.77
Ru 0.5000 0.5000 0.5000  12 H 2.50
Cl 0.0000 0.0000 0.0000  6 H 1.77


An optimized crystal structure of HRuCl2. Source: Alexandria, functional PBE.

## Properties
Calculated total energy, eV/atom: -3.30
Magnetization, μB per cell: 0.05
V, Å³/cell: 55

Cell: 4.2598 4.2598 4.2598 Å, 60.00 60.00 60.00°
Closest atoms and distances in Å follow each position.
Positions (direct):
H 0.0000 0.0000 0.0000  8 Cl 2.61
Ru 0.5000 0.5000 0.5000  8 Cl 2.61
Cl 0.2500 0.2500 0.2500  4 H 2.61, 4 Ru 2.61
Cl 0.7500 0.7500 0.7500  4 Ru 2.61, 4 H 2.61


An optimized crystal structure of H3RuCl. Source: Alexandria, functional PBE.

## Properties
Calculated total energy, eV/atom: -3.54
Magnetization, μB per cell: 1.76
V, Å³/cell: 47

Cell: 3.6097 3.6097 3.6097 Å, 90.00 90.00 90.00°
Closest atoms and distances in Å follow each position.
Positions (direct):
H 0.0000 0.0000 0.5000  2 Ru 1.80
H 0.0000 0.5000 0.0000  2 Ru 1.80
H 0.5000 0.0000 0.0000  2 Ru 1.80
Ru 0.0000 0.0000 0.0000  6 H 1.80
Cl 0.5000 0.5000 0.5000  12 H 2.55


An optimized crystal structure of H2RuCl6. Source: Alexandria, functional PBE.

## Properties
Calculated total energy, eV/atom: -3.49
Magnetization, μB per cell: 4.01
V, Å³/cell: 517

Cell: 9.3192 9.3192 6.0320 Å, 93.06 93.06 81.34°
Closest atoms and distances in Å follow each position.
Positions (direct):
H 0.1070 0.1540 0.2751  1 Cl 1.30
H 0.1540 0.1070 0.7751  1 Cl 1.30
H 0.8460 0.8930 0.2249  1 Cl 1.30
H 0.8930 0.8460 0.7249  1 Cl 1.30
Ru 0.4195 0.5805 0.2500  6 Cl 2.25-2.43
Ru 0.5805 0.4195 0.7500  6 Cl 2.25-2.43
Cl 0.0462 0.2200 0.1013  1 H 1.30
Cl 0.1935 0.6047 0.3762  1 Ru 2.25
Cl 0.2200 0.0462 0.6013  1 H 1.30
Cl 0.3419 0.4754 0.9066  2 Ru 2.37-2.43
Cl 0.3953 0.8065 0.1238  1 Ru 2.25
Cl 0.4754 0.3419 0.4066  2 Ru 2.37-2.43
Cl 0.5246 0.6581 0.5934  2 Ru 2.37-2.43
Cl 0.6047 0.1935 0.8762  1 Ru 2.25
Cl 0.6581 0.5246 0.0934  2 Ru 2.37-2.43
Cl 0.7800 0.9538 0.3987  1 H 1.30
Cl 0.8065 0.3953 0.6238  1 Ru 2.25
Cl 0.9538 0.7800 0.8987  1 H 1.30


- Which formula does entry 7 have?
  HRuCl6


- Which value of magnetization does entry 3 give?
  0.00 μB per cell


Please write out number 4 again, unchanged.
An optimized crystal structure of TlHRhCl6. Source: Alexandria, functional PBE.

## Properties
Calculated total energy, eV/atom: -3.25
Magnetization, μB per cell: 0.00
V, Å³/cell: 237

Cell: 6.2388 6.3759 6.6419 Å, 92.79 111.83 102.56°
Closest atoms and distances in Å follow each position.
Positions (direct):
Tl 0.0000 0.0000 0.0000  5 Cl 2.92-3.18
H 0.3280 0.4485 0.4300  1 Cl 1.40
Rh 0.7976 0.4123 0.4238  6 Cl 2.32-2.40
Cl 0.0778 0.6959 0.6905  1 Rh 2.34
Cl 0.1020 0.2385 0.4697  1 H 1.83
Cl 0.4936 0.6017 0.3821  1 H 1.40
Cl 0.5306 0.1230 0.1447  1 Rh 2.38
Cl 0.6920 0.2210 0.6756  1 Rh 2.32
Cl 0.8694 0.5814 0.1420  1 Rh 2.34